# V7O3 | Alexandria | PBE+U | optimized geometry
data_V7O3
_space_group_name_H-M_alt 'P -1'
_space_group_IT_number 2
_cell_length_a 5.250
_cell_length_b 5.294
_cell_length_c 5.339
_cell_angle_alpha 100.18
_cell_angle_beta 99.22
_cell_angle_gamma 98.74
loop_
_space_group_symop_operation_xyz
'x,y,z'
'-x,-y,-z'
loop_
_atom_site_label
_atom_site_type_symbol
_atom_site_fract_x
_atom_site_fract_y
_atom_site_fract_z
_atom_site_occupancy
V1 V 0.000 0.000 0.000 1
V2 V 0.139 0.571 0.271 1
V3 V 0.288 0.140 0.575 1
V4 V 0.433 0.721 0.865 1
O1 O 0.072 0.776 0.634 1
O2 O 0.500 0.500 0.500 1
# Excess energy over the best structure of this formula in the dataset in meV/atom: 16
# VASP energy in eV per cell: -70.004